## Fe2WCl (PBE)

Data for a relaxed Fe2WCl crystal.

Structure (POSCAR):
```
Fe2WCl
1.0
2.797 0.012 0.000
-1.164 2.543 0.000
0.000 0.000 8.237
Fe W Cl
2 1 1
direct
0.000 0.000 0.009
0.500 0.500 0.241
0.000 0.000 0.486
0.500 0.500 0.764
```

Properties
- Formation energy without anion corrections: 0.48 eV/atom
- Size of the total moment: 5.19 μB/f.u.
- E: -29.8 eV per formula unit
- SG: Cmm2, No. 35
- Relative energy among the computed polymorphs: 157 meV per atom